DFT (SCAN) results for a crystal of MnZnPS2 relaxed with PBEsol.

Results
- E (eV per atom) = -11.75
- N(E_F) (states/eV per atom) = 0.64
- magnetic moment (μB/cell) = 3.8

Lattice parameters (Å, degrees): 4.4724 4.6322 4.6322 90.00 90.00 90.00
Atoms (fractional coordinates):
P1 0.5000 0.0000 0.0000
Zn1 0.0000 0.0000 0.0000
Mn1 0.5000 0.5000 0.5000
S1 0.0000 0.0000 0.5000
S2 0.0000 0.5000 0.0000